(i)
CdAsW2: optimized geometry, GGA-PBEsol.

```
CdAsW2
1.0
-1.7528 -1.9283 -1.7025
3.8739 -2.2294 -1.4634
-1.3608 -0.7462 5.0919
W Cd As
2 1 1
Direct
0.7789 0.7789 0.5578
0.2211 0.2211 0.4422
0.0000 0.5000 0.0000
0.5000 0.0000 0.0000
```

Results
The value obtained for the volume is 66 Å³/f.u. As for the total moment: 0.000 Bohr magnetons per cell.



(ii)
CdAsW2: optimized geometry, GGA-PBEsol.

```
CdAsW2
1.0
-0.4001 1.0138 3.0865
-0.5112 -4.2906 1.3430
4.8430 1.3258 -1.5433
As Cd W
1 1 2
Direct
0.4809 0.4809 0.9619
0.2460 0.7460 0.4919
0.0184 0.0184 0.0369
0.7547 0.2547 0.5094
```

Results
The value obtained for the volume is 66 Å³/f.u. As for the total moment: 0.000 Bohr magnetons per cell.



Stability verdict: (i), ahead by 4.7 kJ/mol of atoms